# Sc5Bi3O12

A relaxed Sc5Bi3O12 crystal (PBE, the Alexandria database).

a b c (Å): 11.3638 11.3638 11.3638
angles (deg): 109.47 109.47 109.47
With the nearest neighbours (Å) after each atom.
Fractional coordinates of all 80 atoms:
Sc1 0.0000 0.0000 0.0000  6 O 2.14
Sc2 0.0000 0.0000 0.5000  6 O 2.14
Sc3 0.0000 0.5000 0.0000  6 O 2.14
Sc4 0.0000 0.5000 0.5000  6 O 2.14
Sc5 0.1250 0.7500 0.8750  4 O 1.98
Sc6 0.1250 0.8750 0.2500  4 O 1.98
Sc7 0.2500 0.1250 0.8750  4 O 1.98
Sc8 0.2500 0.6250 0.3750  4 O 1.98
Sc9 0.3750 0.2500 0.6250  4 O 1.98
Sc10 0.3750 0.6250 0.7500  4 O 1.98
Sc11 0.5000 0.0000 0.0000  6 O 2.14
Sc12 0.5000 0.0000 0.5000  6 O 2.14
Sc13 0.5000 0.5000 0.0000  6 O 2.14
Sc14 0.5000 0.5000 0.5000  6 O 2.14
Sc15 0.6250 0.3750 0.2500  4 O 1.98
Sc16 0.6250 0.7500 0.3750  4 O 1.98
Sc17 0.7500 0.3750 0.6250  4 O 1.98
Sc18 0.7500 0.8750 0.1250  4 O 1.98
Sc19 0.8750 0.1250 0.7500  4 O 1.98
Sc20 0.8750 0.2500 0.1250  4 O 1.98
Bi1 0.1250 0.2500 0.3750  8 O 2.51-2.57
Bi2 0.1250 0.3750 0.7500  8 O 2.51-2.57
Bi3 0.2500 0.3750 0.1250  8 O 2.51-2.57
Bi4 0.2500 0.8750 0.6250  8 O 2.51-2.57
Bi5 0.3750 0.1250 0.2500  8 O 2.51-2.57
Bi6 0.3750 0.7500 0.1250  8 O 2.51-2.57
Bi7 0.6250 0.2500 0.8750  8 O 2.51-2.57
Bi8 0.6250 0.8750 0.7500  8 O 2.51-2.57
Bi9 0.7500 0.1250 0.3750  8 O 2.51-2.57
Bi10 0.7500 0.6250 0.8750  8 O 2.51-2.57
Bi11 0.8750 0.6250 0.2500  8 O 2.51-2.57
Bi12 0.8750 0.7500 0.6250  8 O 2.51-2.57
O1 0.0299 0.2075 0.1225  2 Sc 1.98-2.14
O2 0.0299 0.3224 0.9074  2 Sc 1.98-2.14
O3 0.0850 0.7075 0.6776  2 Sc 1.98-2.14
O4 0.0850 0.8775 0.4074  2 Sc 1.98-2.14
O5 0.0926 0.6225 0.4150  2 Sc 1.98-2.14
O6 0.0926 0.9701 0.6776  2 Sc 1.98-2.14
O7 0.1225 0.0299 0.2075  2 Sc 1.98-2.14
O8 0.1225 0.5926 0.9150  2 Sc 1.98-2.14
O9 0.1776 0.2075 0.5850  2 Sc 1.98-2.14
O10 0.1776 0.4701 0.5926  2 Sc 1.98-2.14
O11 0.2075 0.1225 0.0299  2 Sc 1.98-2.14
O12 0.2075 0.5850 0.1776  2 Sc 1.98-2.14
O13 0.2925 0.3224 0.9150  2 Sc 1.98-2.14
O14 0.2925 0.4701 0.3775  2 Sc 1.98-2.14
O15 0.3224 0.9074 0.0299  2 Sc 1.98-2.14
O16 0.3224 0.9150 0.2925  2 Sc 1.98-2.14
O17 0.3775 0.2925 0.4701  2 Sc 1.98-2.14
O18 0.3775 0.5850 0.9074  2 Sc 1.98-2.14
O19 0.4074 0.0850 0.8775  2 Sc 1.98-2.14
O20 0.4074 0.8224 0.5299  2 Sc 1.98-2.14
O21 0.4150 0.0926 0.6225  2 Sc 1.98-2.14
O22 0.4150 0.8224 0.7925  2 Sc 1.98-2.14
O23 0.4701 0.3775 0.2925  2 Sc 1.98-2.14
O24 0.4701 0.5926 0.1776  2 Sc 1.98-2.14
O25 0.5299 0.4074 0.8224  2 Sc 1.98-2.14
O26 0.5299 0.6225 0.7075  2 Sc 1.98-2.14
O27 0.5850 0.1776 0.2075  2 Sc 1.98-2.14
O28 0.5850 0.9074 0.3775  2 Sc 1.98-2.14
O29 0.5926 0.1776 0.4701  2 Sc 1.98-2.14
O30 0.5926 0.9150 0.1225  2 Sc 1.98-2.14
O31 0.6225 0.4150 0.0926  2 Sc 1.98-2.14
O32 0.6225 0.7075 0.5299  2 Sc 1.98-2.14
O33 0.6776 0.0850 0.7075  2 Sc 1.98-2.14
O34 0.6776 0.0926 0.9701  2 Sc 1.98-2.14
O35 0.7075 0.5299 0.6225  2 Sc 1.98-2.14
O36 0.7075 0.6776 0.0850  2 Sc 1.98-2.14
O37 0.7925 0.4150 0.8224  2 Sc 1.98-2.14
O38 0.7925 0.8775 0.9701  2 Sc 1.98-2.14
O39 0.8224 0.5299 0.4074  2 Sc 1.98-2.14
O40 0.8224 0.7925 0.4150  2 Sc 1.98-2.14
O41 0.8775 0.4074 0.0850  2 Sc 1.98-2.14
O42 0.8775 0.9701 0.7925  2 Sc 1.98-2.14
O43 0.9074 0.0299 0.3224  2 Sc 1.98-2.14
O44 0.9074 0.3775 0.5850  2 Sc 1.98-2.14
O45 0.9150 0.1225 0.5926  2 Sc 1.98-2.14
O46 0.9150 0.2925 0.3224  2 Sc 1.98-2.14
O47 0.9701 0.6776 0.0926  2 Sc 1.98-2.14
O48 0.9701 0.7925 0.8775  2 Sc 1.98-2.14

Calculated values
ρ = 6.14 g cm⁻³
E_form (uncorrected) = -2.57 eV per atom
Raw total energy = -7.714 eV/atom